Entry from the Alexandria database: crystalline YBe2Ni at its relaxed geometry (GGA-PBEsol).

* excess energy over the best structure of this formula in the dataset: 277.0 meV/atom
* M_tot: 0.00 μB per formula unit
* energy: -5.228 eV/atom
* energy of formation: 0.017 eV/atom

Structure (POSCAR):
```
YBe2Ni
1.0
4.043 0.000 0.000
2.021 3.724 0.022
2.021 0.883 3.618
Y Ni Be
1 1 2
direct
0.500 0.000 0.000
0.000 0.500 0.500
0.297 0.703 0.703
0.703 0.297 0.297
```


Entry from the Alexandria database: crystalline BaTi5O11 at its relaxed geometry (GGA-PBEsol).

* E_form (uncorrected): -3.097 eV per atom
* M_tot: 0.00 μB per formula unit
* energy: -9.068 eV/atom

Structure (POSCAR):
```
BaTi5O11
1.0
7.532 -0.008 0.000
-1.117 7.561 0.000
0.000 0.000 14.048
Ba Ti O
4 20 44
direct
0.700 0.732 0.583
0.800 0.768 0.083
0.300 0.268 0.417
0.200 0.232 0.917
0.255 0.731 0.491
0.245 0.769 0.991
0.745 0.269 0.509
0.755 0.231 0.009
0.743 0.449 0.839
0.757 0.051 0.339
0.257 0.551 0.161
0.243 0.949 0.661
0.580 0.071 0.825
0.920 0.429 0.325
0.420 0.929 0.175
0.080 0.571 0.675
0.868 0.845 0.839
0.632 0.655 0.339
0.132 0.155 0.161
0.368 0.345 0.661
0.451 0.690 0.826
0.049 0.810 0.326
0.549 0.310 0.174
0.951 0.190 0.674
0.040 0.830 0.929
0.460 0.670 0.429
0.960 0.170 0.071
0.540 0.330 0.571
0.679 0.661 0.897
0.821 0.839 0.397
0.321 0.339 0.103
0.179 0.161 0.603
0.413 0.912 0.902
0.087 0.588 0.402
0.587 0.088 0.098
0.913 0.412 0.598
0.778 0.027 0.913
0.722 0.473 0.413
0.222 0.973 0.087
0.278 0.527 0.587
0.570 0.273 0.909
0.901 0.394 0.925
0.099 0.606 0.075
0.401 0.894 0.575
0.302 0.582 0.917
0.198 0.918 0.417
0.698 0.418 0.083
0.802 0.082 0.583
0.007 0.995 0.748
0.493 0.505 0.248
0.993 0.005 0.252
0.507 0.495 0.752
0.391 0.126 0.742
0.109 0.374 0.242
0.609 0.874 0.258
0.891 0.626 0.758
0.763 0.244 0.758
0.737 0.256 0.258
0.237 0.756 0.242
0.263 0.744 0.742
0.137 0.371 0.740
0.363 0.129 0.240
0.863 0.629 0.260
0.637 0.871 0.760
0.070 0.773 0.591
0.430 0.727 0.091
0.930 0.227 0.409
0.599 0.106 0.425
```


Entry from the Alexandria database: crystalline HfZrH2 at its relaxed geometry (GGA-PBEsol).

* M_tot: 0.00 μB per formula unit
* energy: -6.919 eV/atom

Structure (POSCAR):
```
HfZrH2
1.0
5.053 0.000 0.000
0.000 5.053 0.000
-2.526 -2.526 3.825
H Hf Zr
4 2 2
direct
0.369 0.875 0.250
0.881 0.375 0.250
0.125 0.119 0.750
0.625 0.631 0.750
0.250 0.750 0.500
0.000 0.000 0.000
0.750 0.250 0.500
0.500 0.500 0.000
```


Entry from the Alexandria database: crystalline SiIr2Br at its relaxed geometry (GGA-PBEsol).

* excess energy over the best structure of this formula in the dataset: 0.0 meV/atom
* E_form (uncorrected): 0.405 eV per atom
* M_tot: 0.00 μB per formula unit
* energy: -6.411 eV/atom

Structure (POSCAR):
```
SiIr2Br
1.0
2.808 0.000 0.000
1.404 5.030 0.024
1.404 2.333 4.456
Br Ir Si
1 2 1
direct
0.000 0.500 0.500
0.225 0.775 0.775
0.775 0.225 0.225
0.500 0.000 0.000
```


Entry from the Alexandria database: crystalline Rb3WAu at its relaxed geometry (GGA-PBEsol).

* M_tot: 6.05 μB per formula unit
* energy: -2.556 eV/atom
* energy of formation: 1.605 eV/atom

Structure (POSCAR):
```
Rb3WAu
1.0
-2.513 -2.134 -5.918
2.399 -6.216 1.223
-5.816 -1.642 3.062
Au Rb W
1 3 1
direct
0.500 0.500 0.500
0.000 0.500 0.000
0.000 0.000 0.500
0.500 0.000 0.000
0.000 0.000 0.000
```


Entry from the Alexandria database: crystalline ZrP2Au at its relaxed geometry (GGA-PBEsol).

* M_tot: 0.00 μB per formula unit
* energy: -6.370 eV/atom
* energy of formation: -0.221 eV/atom

Structure (POSCAR):
```
ZrP2Au
1.0
-0.151 2.181 2.028
-4.094 -2.852 0.990
4.107 -2.658 1.394
Au P Zr
1 2 1
direct
0.500 0.000 0.000
0.000 0.000 0.500
0.000 0.500 0.000
0.500 0.500 0.500
```


Entry from the Alexandria database: crystalline NdCuO2 at its relaxed geometry (GGA-PBEsol).

* E_form (uncorrected): -2.235 eV per atom
* M_tot: 0.00 μB per formula unit
* energy: -7.234 eV/atom

Structure (POSCAR):
```
NdCuO2
1.0
-1.442 2.946 -1.741
-3.059 1.631 1.332
1.692 4.945 3.005
Nd Cu O
1 1 2
direct
0.500 0.500 0.500
0.000 0.000 0.000
0.894 0.894 0.318
0.106 0.106 0.682
```


Entry from the Alexandria database: crystalline ZnAs3Pd at its relaxed geometry (GGA-PBEsol).

* M_tot: 0.00 μB per formula unit
* energy: -3.726 eV/atom
* energy of formation: 0.846 eV/atom

Structure (POSCAR):
```
ZnAs3Pd
1.0
4.677 0.000 0.000
0.000 4.677 0.000
0.000 0.000 4.677
As Zn Pd
3 1 1
direct
0.000 0.500 0.000
0.000 0.000 0.500
0.500 0.000 0.000
0.000 0.000 0.000
0.500 0.500 0.500
```


Entry from the Alexandria database: crystalline GaRe at its relaxed geometry (GGA-PBEsol).

* M_tot: 0.00 μB per formula unit
* energy: -8.415 eV/atom
* energy of formation: -0.079 eV/atom

Structure (POSCAR):
```
GaRe
1.0
2.821 0.000 0.000
1.410 2.443 0.000
1.410 0.814 8.831
Re Ga
2 2
direct
0.447 0.447 0.660
0.702 0.702 0.893
0.861 0.861 0.416
0.955 0.955 0.136
```


Entry from the Alexandria database: crystalline YMg2 at its relaxed geometry (GGA-PBEsol).

* M_tot: 0.00 μB per formula unit
* energy: -3.463 eV/atom
* energy of formation: -0.044 eV/atom

Structure (POSCAR):
```
YMg2
1.0
-1.486 3.885 2.206
-3.907 -2.258 1.344
9.061 -4.943 9.785
Mg Y
8 4
direct
0.002 0.502 0.003
0.498 0.998 0.997
0.752 0.752 0.503
0.248 0.248 0.497
0.832 0.332 0.664
0.668 0.168 0.336
0.582 0.582 0.164
0.418 0.418 0.836
0.168 0.668 0.336
0.332 0.832 0.664
0.918 0.918 0.836
0.082 0.082 0.164
```


Entry from the Alexandria database: crystalline KTaIn2 at its relaxed geometry (GGA-PBEsol).

* excess energy over the best structure of this formula in the dataset: 0.0 meV/atom
* M_tot: 0.00 μB per formula unit
* energy: -4.722 eV/atom
* energy of formation: 0.190 eV/atom

Structure (POSCAR):
```
KTaIn2
1.0
2.992 0.000 0.000
0.000 2.992 0.000
0.000 0.000 10.257
In K Ta
2 1 1
direct
0.000 0.000 0.717
0.000 0.000 0.283
0.500 0.500 0.000
0.500 0.500 0.500
```


Entry from the Alexandria database: crystalline SrLiMn4 at its relaxed geometry (GGA-PBEsol).

* M_tot: 13.85 μB per formula unit
* energy: -6.353 eV/atom
* energy of formation: 0.789 eV/atom

Structure (POSCAR):
```
SrLiMn4
1.0
-0.956 -1.117 5.154
-3.707 -3.642 1.310
1.490 -4.728 2.039
Li Mn Sr
1 4 1
direct
0.000 0.000 0.000
0.880 0.373 0.373
0.373 0.373 0.373
0.373 0.373 0.880
0.373 0.880 0.373
0.750 0.750 0.750
```


Question: The highest energy belongs to which entry?
Answer: Rb3WAu


Question: The lowest energy belongs to which entry?
Answer: BaTi5O11